# KInSb2

An optimized crystal structure of KInSb2 (PBE, the Alexandria database).

Calculated values
* calculated total energy: -2.980 eV/atom
* space-group type: F-43m

Cell lengths 5.5881, 5.5881, 5.5881 Å; angles 60.00, 60.00, 60.00 degrees
Last column: nearest neighbours and their distance in Å.
Sites, in units of the cell vectors:
1 In 0.5000 0.5000 0.5000  4 K 3.42, 4 Sb 3.42
2 K 0.7500 0.7500 0.7500  4 In 3.42, 4 Sb 3.42
3 Sb 0.0000 0.0000 0.0000  4 Sb 3.42, 4 K 3.42
4 Sb 0.2500 0.2500 0.2500  4 In 3.42, 4 Sb 3.42

***

# KIn2Sb2

An optimized crystal structure of KIn2Sb2 (PBE, the Alexandria database).

Calculated values
* space-group type: I4/mmm
* relative energy among the computed polymorphs: 0.0202 eV per atom

Cell lengths 4.9419, 4.9419, 8.2132 Å; angles 72.49, 72.49, 90.00 degrees
Last column: nearest neighbours and their distance in Å.
Sites, in units of the cell vectors:
1 Sb 0.3662 0.3662 0.2677  4 In 3.01
2 Sb 0.6338 0.6338 0.7323  4 In 3.01
3 K 0.0000 0.0000 0.0000  8 Sb 4.02, 8 In 4.46
4 In 0.7500 0.2500 0.5000  4 Sb 3.01
5 In 0.2500 0.7500 0.5000  4 Sb 3.01

***

# KInSb

An optimized crystal structure of KInSb (PBE, the Alexandria database).

Calculated values
* calculated total energy: -2.987 eV/atom
* space-group type: P2_1/c

Cell lengths 6.3117, 8.3368, 8.6529 Å; angles 94.67, 90.00, 90.00 degrees
Last column: nearest neighbours and their distance in Å.
Sites, in units of the cell vectors:
1 K 0.0364 0.6532 0.2185  4 Sb 3.44-3.69, 2 In 3.64-3.72
2 K 0.4636 0.6532 0.7185  4 Sb 3.44-3.69, 2 In 3.64-3.72
3 K 0.9636 0.3468 0.7815  4 Sb 3.44-3.69, 2 In 3.64-3.72
4 K 0.5364 0.3468 0.2815  4 Sb 3.44-3.69, 2 In 3.64-3.72
5 In 0.8012 0.9604 0.5706  1 In 2.89, 3 Sb 2.93-3.01
6 In 0.6988 0.9604 0.0706  1 In 2.89, 3 Sb 2.93-3.01
7 In 0.1988 0.0396 0.4294  1 In 2.89, 3 Sb 2.93-3.01
8 In 0.3012 0.0396 0.9294  1 In 2.89, 3 Sb 2.93-3.01
9 Sb 0.4695 0.2092 0.6653  3 In 2.93-3.01
10 Sb 0.9695 0.7908 0.8347  3 In 2.93-3.01
11 Sb 0.5305 0.7908 0.3347  3 In 2.93-3.01
12 Sb 0.0305 0.2092 0.1653  3 In 2.93-3.01

***

# KInSb

An optimized crystal structure of KInSb (PBE, the Alexandria database).

Calculated values
* calculated total energy: -2.795 eV/atom
* space-group type: F-43m

Cell lengths 5.4519, 5.4519, 5.4519 Å; angles 60.00, 60.00, 60.00 degrees
Last column: nearest neighbours and their distance in Å.
Sites, in units of the cell vectors:
1 In 0.0000 0.0000 0.0000  4 Sb 3.34
2 K 0.5000 0.5000 0.5000  4 Sb 3.34
3 Sb 0.7500 0.7500 0.7500  4 K 3.34, 4 In 3.34